## CoCSeN2 (PBE-GGA)

Data for a relaxed structure of CoCSeN2.

abc: 3.117 3.117 7.328
angles: 90.00 90.00 90.00
Sites, in units of the cell vectors:
1 Co 0.000 0.000 0.000
2 C 0.500 0.500 0.500
3 Se 0.500 0.500 0.000
4 N 0.000 0.500 0.500
5 N 0.500 0.000 0.500

Output
**Raw formation energy**: 1.961 eV/atom
**Total magnetic moment**: 0.0 μB per formula unit
**Polymorph energy (0 for the lowest one)**: 63 meV per atom